Entry 1:
This record from Alexandria describes an optimized crystal structure of K2TeH6SeO10. The functional is PBE.

a b c (Å): 11.6694 6.5641 14.1536
angles (deg): 90.00 106.36 90.00
Last column: nearest neighbours and their distance in Å.
Space group C2/c (No. 15)
Unique sites:
K1 0.1500 0.2003 0.1370 [8 per cell]  5 O 2.80-2.90
Te1 0.2500 0.2500 0.5000 [4 per cell]  6 O 1.95-1.96
H1 0.0946 0.4838 0.9293 [8 per cell]  1 O 1.01
H2 0.1089 0.0155 0.3881 [8 per cell]  1 O 1.01
H3 0.1550 0.2975 0.6348 [8 per cell]  1 O 1.00
Se1 0.0000 0.2839 0.7500 [4 per cell]  4 O 1.67-1.69
O1 0.0330 0.4298 0.6632 [8 per cell]  1 Se 1.69, 2 H 1.72-1.81
O2 0.0987 0.1112 0.4413 [8 per cell]  1 H 1.01
O3 0.1191 0.1374 0.7994 [8 per cell]  1 H 1.64, 1 Se 1.67
O4 0.1690 0.4868 0.9863 [8 per cell]  1 H 1.01
O5 0.2252 0.2145 0.6304 [8 per cell]  1 H 1.00

Output
- VASP energy (eV per atom) = -5.09

***

Entry 2:
This record from Alexandria describes an optimized crystal structure of Cu2Pb2Cl. The functional is PBE.

a b c (Å): 3.5842 3.5842 17.5814
angles (deg): 90.00 90.00 90.00
Last column: nearest neighbours and their distance in Å.
Space group I4/mmm (No. 139)
Unique sites:
Cu1 0.0000 0.5000 0.2500 [4 per cell]  4 Cu 2.53
Pb1 0.0000 0.0000 0.1209 [4 per cell]  4 Cu 2.89
Cl1 0.0000 0.0000 0.5000 [2 per cell]  8 Pb 3.31, 4 Cl 3.58

Output
- relative energy among the computed polymorphs (meV/atom) = 0.0
- energy relative to the elements, uncorrected (eV/atom) = -0.005

***

Entry 3:
This record from Alexandria describes an optimized crystal structure of Li3CrCu. The functional is PBE.

a b c (Å): 4.4374 4.4374 4.4374
angles (deg): 90.00 90.00 90.00
Last column: nearest neighbours and their distance in Å.
Space group Pm-3m (No. 221)
Unique sites:
Li1 0.0000 0.0000 0.5000 [3 per cell]  2 Cu 2.22
Cr1 0.5000 0.5000 0.5000 [1 per cell]  12 Li 3.14
Cu1 0.0000 0.0000 0.0000 [1 per cell]  6 Li 2.22

Output
- relative energy among the computed polymorphs (meV/atom) = 79.8
- formation enthalpy at 0 K (eV/f.u.) = 5.3

***

Entry 4:
This record from Alexandria describes an optimized crystal structure of RbPmPu2O8. The functional is PBE.

a b c (Å): 7.9586 7.9586 7.3295
angles (deg): 90.00 90.00 90.00
Last column: nearest neighbours and their distance in Å.
Space group I-4m2 (No. 119)
Unique sites:
Rb1 0.0000 0.0000 0.0000 [2 per cell]  8 O 2.75-3.01
Pm1 0.0000 0.5000 0.2500 [2 per cell]  8 O 2.45-2.51
Pu1 0.0000 0.0000 0.5000 [2 per cell]  4 O 1.99
Pu2 0.0000 0.5000 0.7500 [2 per cell]  4 O 1.94
O1 0.0000 0.2049 0.3445 [8 per cell]  1 Pu 1.99
O2 0.0000 0.3427 0.9526 [8 per cell]  1 Pu 1.94

Output
- energy relative to the elements, uncorrected (eV/atom) = -2.206

***

Entry 5:
This record from Alexandria describes an optimized crystal structure of NdHoTh2. The functional is PBE.

a b c (Å): 6.8819 26.4866 3.5797
angles (deg): 90.00 115.70 90.00
Last column: nearest neighbours and their distance in Å.
Space group C2/c (No. 15)
Unique sites:
Nd1 0.2500 0.2500 0.0000 [4 per cell]  2 Nd 3.11, 2 Ho 3.41
Ho1 0.0000 0.1537 0.2500 [4 per cell]  2 Th 3.28, 4 Nd 3.41-3.56, 2 Ho 3.58
Th1 0.2437 0.4451 0.2078 [8 per cell]  1 Ho 3.28, 7 Th 3.41-3.58

Output
- relative energy among the computed polymorphs (meV/atom) = 488.4
- formation enthalpy at 0 K (eV/f.u.) = 2.1

***

Entry 6:
This record from Alexandria describes an optimized crystal structure of MnNb2Ni6. The functional is PBE.

a b c (Å): 7.0235 12.6586 2.6306
angles (deg): 90.00 90.00 90.00
Last column: nearest neighbours and their distance in Å.
Space group Cmmm (No. 65)
Unique sites:
Mn1 0.0000 0.0000 0.0000 [2 per cell]  8 Ni 2.36-2.56, 2 Mn 2.63
Nb1 0.0000 0.3161 0.5000 [4 per cell]  2 Nb 2.63, 10 Ni 2.63-2.70
Ni1 0.1788 0.1580 0.0000 [8 per cell]  1 Mn 2.36, 6 Ni 2.51-2.63, 2 Nb 2.63
Ni2 0.1866 0.5000 0.5000 [4 per cell]  2 Mn 2.56, 7 Ni 2.57-2.63, 2 Nb 2.67

Output
- relative energy among the computed polymorphs (meV/atom) = 76.4
- formation enthalpy at 0 K (eV/f.u.) = -0.2